Material: TmSb3
Method: DFT, PBE
State: relaxed

a b c (Å): 4.444 4.444 6.261
angles (deg): 110.79 110.79 90.00
Element x y z (fractional)
Sb (0.750, 0.250, 0.500)
Sb (0.250, 0.750, 0.500)
Sb (0.500, 0.500, 0.000)
Tm (0.000, 0.000, 0.000)

Results
For the total energy, the calculation gives -18.3 eV per formula unit. For the density of states at the Fermi level, the calculation gives 2.068 states/eV per cell. As for the energy relative to the lowest polymorph listed for this composition: 93.7 meV/atom. For the uncorrected formation energy, the calculation gives -0.3605 eV/atom. Its space-group type is I4/mmm.

Material: TmUSb
Method: DFT, PBE
State: relaxed

a b c (Å): 5.099 5.099 8.301
angles (deg): 72.11 72.11 60.00
Last column: magnetic moment on the atom in μB.
Element x y z (fractional)
Tm (0.579, 0.579, 0.263)  0.19
Tm (0.421, 0.421, 0.737)  0.19
Sb (0.285, 0.285, 0.144)  -0.03
Sb (0.715, 0.715, 0.856)  -0.03
U (0.843, 0.843, 0.470)  2.62
U (0.157, 0.157, 0.530)  2.62

Results
For the total energy, the calculation gives -20.0 eV per formula unit. For the density of states at the Fermi level, the calculation gives 11.813 states/eV per cell. For the uncorrected formation energy, the calculation gives -0.0471 eV/atom. Its space-group type is R-3m.

Material: Tm2USb3
Method: DFT, PBE
State: relaxed

a b c (Å): 4.357 4.358 9.698
angles (deg): 103.00 103.00 89.92
Last column: magnetic moment on the atom in μB.
Element x y z (fractional)
Tm (0.101, 0.102, 0.208)  0.00
Tm (0.768, 0.769, 0.540)  0.00
U (0.434, 0.436, 0.874)  2.42
Sb (0.934, 0.936, 0.874)  -0.06
Sb (0.267, 0.268, 0.539)  -0.03
Sb (0.602, 0.603, 0.209)  -0.03

Results
For the total energy, the calculation gives -37.2 eV per formula unit. For the density of states at the Fermi level, the calculation gives 5.890 states/eV per cell. For the uncorrected formation energy, the calculation gives -0.7616 eV/atom. Its space-group type is Fmmm.

Material: Tm3USb4
Method: DFT, PBE
State: relaxed

a b c (Å): 4.330 7.534 7.534
angles (deg): 109.10 90.00 90.00
Last column: magnetic moment on the atom in μB.
Element x y z (fractional)
Sb (0.000, 0.254, 0.254)  -0.04
Sb (0.500, 0.750, 0.250)  -0.02
Sb (0.000, 0.746, 0.746)  -0.04
Sb (0.500, 0.250, 0.750)  -0.02
Tm (0.000, 0.000, 0.500)  0.01
Tm (0.500, 0.500, 0.500)  -0.01
Tm (0.000, 0.500, 0.000)  0.01
U (0.500, 0.000, 0.000)  2.42

Results
For the total energy, the calculation gives -47.9 eV per formula unit. For the density of states at the Fermi level, the calculation gives 7.580 states/eV per cell. For the uncorrected formation energy, the calculation gives -0.8345 eV/atom. Its space-group type is Cmmm.

Material: TmU3Sb4
Method: DFT, PBE
State: relaxed

a b c (Å): 4.288 7.611 7.611
angles (deg): 108.58 90.00 90.00
Last column: magnetic moment on the atom in μB.
Element x y z (fractional)
Sb (0.000, 0.247, 0.247)  0.06
Sb (0.500, 0.753, 0.247)  0.06
Sb (0.000, 0.753, 0.753)  0.06
Sb (0.500, 0.247, 0.753)  0.06
Tm (0.500, 0.000, 0.000)  0.03
U (0.000, 0.000, 0.500)  -2.46
U (0.500, 0.500, 0.500)  -2.54
U (0.000, 0.500, 0.000)  -2.46

Results
For the total energy, the calculation gives -58.0 eV per formula unit. For the density of states at the Fermi level, the calculation gives 15.736 states/eV per cell. For the uncorrected formation energy, the calculation gives -0.3942 eV/atom. Its space-group type is Cmmm.

Material: Tm5USb6
Method: DFT, PBE
State: relaxed

a b c (Å): 7.527 7.523 7.529
angles (deg): 60.03 80.41 70.51
Last column: magnetic moment on the atom in μB.
Element x y z (fractional)
Sb (0.748, 0.084, 0.335)  -0.02
Sb (0.252, 0.581, 0.335)  -0.02
Sb (0.250, 0.252, 0.000)  -0.02
Sb (0.750, 0.748, 0.000)  -0.02
Sb (0.748, 0.419, 0.665)  -0.02
Sb (0.252, 0.916, 0.665)  -0.02
Tm (0.500, 0.166, 0.668)  0.00
Tm (0.000, 0.333, 0.334)  0.01
Tm (0.500, 0.500, 0.000)  0.00
Tm (0.000, 0.667, 0.666)  0.01
Tm (0.500, 0.834, 0.332)  0.00
U (0.000, 0.000, 0.000)  2.39

Results
For the total energy, the calculation gives -69.3 eV per formula unit. For the density of states at the Fermi level, the calculation gives 10.578 states/eV per cell. For the uncorrected formation energy, the calculation gives -0.9092 eV/atom. Its space-group type is C2/m.

Material: TmVSb
Method: DFT, PBE
State: relaxed

a b c (Å): 4.898 3.475 11.259
angles (deg): 71.54 77.44 45.18
Element x y z (fractional)
Sb (0.760, 0.173, 0.308)
Sb (0.240, 0.827, 0.692)
V (0.730, 0.977, 0.563)
V (0.270, 0.023, 0.437)
Tm (0.254, 0.378, 0.115)
Tm (0.746, 0.622, 0.885)

Results
For the total energy, the calculation gives -18.4 eV per formula unit. For the density of states at the Fermi level, the calculation gives 5.853 states/eV per cell. For the uncorrected formation energy, the calculation gives -0.2312 eV/atom. Its space-group type is C2/m.

Material: YTm8Sb6
Method: DFT, PBE
State: relaxed

a b c (Å): 7.413 7.413 10.557
angles (deg): 69.44 69.44 60.00
Element x y z (fractional)
Y (0.000, 0.000, 0.000)
Tm (0.550, 0.211, 0.361)
Tm (0.789, 0.121, 0.639)
Tm (0.121, 0.450, 0.639)
Tm (0.667, 0.667, 0.000)
Tm (0.333, 0.333, 0.000)
Tm (0.879, 0.550, 0.361)
Tm (0.211, 0.879, 0.361)
Tm (0.450, 0.789, 0.639)
Sb (0.398, 0.062, 0.814)
Sb (0.938, 0.274, 0.186)
Sb (0.274, 0.602, 0.186)
Sb (0.726, 0.398, 0.814)
Sb (0.062, 0.726, 0.814)
Sb (0.602, 0.938, 0.186)

Results
For the total energy, the calculation gives -77.6 eV per formula unit. For the density of states at the Fermi level, the calculation gives 8.677 states/eV per cell. For the uncorrected formation energy, the calculation gives -0.7118 eV/atom. Its space-group type is R-3.

Material: YTm2Sb
Method: DFT, PBE
State: relaxed

a b c (Å): 4.115 6.389 9.391
angles (deg): 90.00 90.00 108.79
Element x y z (fractional)
Y (0.943, 0.885, 0.250)
Y (0.057, 0.115, 0.750)
Tm (0.364, 0.728, 0.548)
Tm (0.636, 0.272, 0.452)
Tm (0.364, 0.728, 0.952)
Tm (0.636, 0.272, 0.048)
Sb (0.758, 0.517, 0.750)
Sb (0.242, 0.483, 0.250)

Results
For the total energy, the calculation gives -21.7 eV per formula unit. For the density of states at the Fermi level, the calculation gives 10.424 states/eV per cell. As for the energy relative to the lowest polymorph listed for this composition: 0.0 meV/atom. For the uncorrected formation energy, the calculation gives -0.5539 eV/atom. Its space-group type is Cmcm.

Material: Y3Tm2Sb2
Method: DFT, PBE
State: relaxed

a b c (Å): 4.209 6.447 8.396
angles (deg): 107.45 90.00 109.05
Element x y z (fractional)
Y (0.500, 0.000, 0.000)
Y (0.625, 0.250, 0.446)
Y (0.375, 0.750, 0.554)
Tm (0.867, 0.735, 0.217)
Tm (0.133, 0.265, 0.783)
Sb (0.824, 0.647, 0.809)
Sb (0.176, 0.353, 0.191)

Results
For the total energy, the calculation gives -41.0 eV per formula unit. For the density of states at the Fermi level, the calculation gives 6.792 states/eV per cell. For the uncorrected formation energy, the calculation gives -0.6335 eV/atom. Its space-group type is C2/m.

Material: YTmSb
Method: DFT, PBE
State: relaxed

a b c (Å): 4.264 10.521 8.374
angles (deg): 90.95 104.75 90.00
Last column: magnetic moment on the atom in μB.
Element x y z (fractional)
Y (0.964, 0.644, 0.929)  0.09
Y (0.598, 0.854, 0.197)  0.09
Y (0.402, 0.146, 0.803)  0.09
Y (0.036, 0.356, 0.071)  0.09
Tm (0.760, 0.335, 0.520)  0.02
Tm (0.194, 0.077, 0.389)  0.05
Tm (0.240, 0.665, 0.480)  0.02
Tm (0.806, 0.923, 0.611)  0.05
Sb (0.617, 0.552, 0.233)  0.00
Sb (0.413, 0.832, 0.826)  0.00
Sb (0.383, 0.448, 0.767)  0.00
Sb (0.587, 0.168, 0.174)  0.00

Results
For the total energy, the calculation gives -16.8 eV per formula unit. For the density of states at the Fermi level, the calculation gives 13.523 states/eV per cell. For the uncorrected formation energy, the calculation gives -0.5966 eV/atom. Its space-group type is C2/m.

Material: Y2TmSb
Method: DFT, PBE
State: relaxed

a b c (Å): 3.967 3.967 9.893
angles (deg): 78.43 78.43 60.00
Last column: magnetic moment on the atom in μB.
Element x y z (fractional)
Y (0.266, 0.266, 0.203)  0.10
Y (0.734, 0.734, 0.797)  0.10
Sb (0.000, 0.000, 0.000)  0.01
Tm (0.500, 0.500, 0.500)  0.45

Results
For the total energy, the calculation gives -22.7 eV per formula unit. For the density of states at the Fermi level, the calculation gives 4.696 states/eV per cell. As for the energy relative to the lowest polymorph listed for this composition: 193.7 meV/atom. For the uncorrected formation energy, the calculation gives -0.2997 eV/atom. Its space-group type is R-3m.